(1)
A plane-wave DFT calculation with GGA-PBE was carried out for a geometry-optimized Na2TiRuO6 structure. Values from VASP.

Structure (Quantum ESPRESSO input):
```
&SYSTEM
  ibrav = 0, nat = 10, ntyp = 4
/
ATOMIC_SPECIES
Na 22.99 Na.upf
O 16.00 O.upf
Ti 47.87 Ti.upf
Ru 101.07 Ru.upf
CELL_PARAMETERS angstrom
3.852 0.000 0.000
0.000 5.474 0.000
0.000 0.000 5.474
ATOMIC_POSITIONS angstrom
Na 0.556 0.000 2.737
O 0.558 2.737 2.737
O 2.484 4.122 4.122
O 2.484 4.122 1.352
O 0.558 0.000 0.000
Ti 2.483 2.737 2.737
Na 0.556 2.737 0.000
O 2.484 1.352 1.352
O 2.484 1.352 4.122
Ru 2.484 0.000 0.000
```

Values from the calculation:
Calculated density: 4.2 g cm⁻³
Formation energy (no corrections): -1.744 eV/atom
Density of states at the Fermi level: 0.49 states/eV/atom

(2)
A plane-wave DFT calculation with GGA-PBE was carried out for a geometry-optimized NaTlRuO2 structure. Values from VASP.

Structure (Quantum ESPRESSO input):
```
&SYSTEM
  ibrav = 0, nat = 5, ntyp = 4
/
ATOMIC_SPECIES
Tl 204.38 Tl.upf
O 16.00 O.upf
Ru 101.07 Ru.upf
Na 22.99 Na.upf
CELL_PARAMETERS angstrom
3.895 0.000 0.000
0.000 5.800 0.000
0.000 0.000 3.895
ATOMIC_POSITIONS angstrom
Tl 0.000 2.900 0.000
O 0.000 0.000 1.948
Ru 0.000 0.000 0.000
Na 1.948 2.900 1.948
O 1.948 0.000 0.000
```

Values from the calculation:
Calculated density: 6.8 g cm⁻³
Formation energy (no corrections): -0.332 eV/atom
Density of states at the Fermi level: 0.57 states/eV/atom

(3)
A plane-wave DFT calculation with GGA-PBE was carried out for a geometry-optimized NaTlRu2O8 structure. Values from VASP.

Structure (Quantum ESPRESSO input):
```
&SYSTEM
  ibrav = 0, nat = 12, ntyp = 4
/
ATOMIC_SPECIES
Na 22.99 Na.upf
O 16.00 O.upf
Ru 101.07 Ru.upf
Tl 204.38 Tl.upf
CELL_PARAMETERS angstrom
-0.348 4.846 2.774
-4.235 1.582 -3.296
-1.829 -5.824 4.303
ATOMIC_POSITIONS angstrom
Na 0.000 0.000 0.000
O -3.912 3.849 -0.011
O -4.570 0.785 -0.746
Ru -2.292 3.214 -0.261
O -5.192 -1.901 0.001
O -4.010 -3.089 2.354
O -4.457 0.054 2.013
O -2.493 -0.993 0.223
Ru -4.178 -0.514 0.373
O -1.910 1.795 0.704
Tl -2.235 1.118 3.408
O -2.994 -1.347 4.515
```

Values from the calculation:
Calculated density: 4.7 g cm⁻³
Formation energy (no corrections): -0.903 eV/atom
Density of states at the Fermi level: 0.60 states/eV/atom

(4)
A plane-wave DFT calculation with GGA-PBE was carried out for a geometry-optimized Na4Tl3RuO8 structure. Values from VASP.

Structure (Quantum ESPRESSO input):
```
&SYSTEM
  ibrav = 0, nat = 16, ntyp = 4
/
ATOMIC_SPECIES
Na 22.99 Na.upf
Tl 204.38 Tl.upf
O 16.00 O.upf
Ru 101.07 Ru.upf
CELL_PARAMETERS angstrom
6.796 0.000 0.000
0.000 6.729 -0.054
-3.398 -3.394 4.809
ATOMIC_POSITIONS angstrom
Na 3.398 0.000 0.000
Tl 1.699 1.667 2.378
O 5.308 1.937 0.017
Na 0.000 0.000 0.000
O 1.488 1.937 0.017
O 3.398 0.029 2.721
Ru 0.000 3.364 -0.027
O 1.910 1.398 4.738
O 0.000 3.306 2.034
O 3.398 3.284 2.318
Tl 3.398 3.364 -0.027
O -1.910 1.398 4.738
Na 1.699 -1.697 2.404
Na -1.699 -1.697 2.404
Tl -1.699 1.667 2.378
O 0.000 0.051 2.437
```

Values from the calculation:
Calculated density: 7.1 g cm⁻³
Formation energy (no corrections): -1.080 eV/atom
Density of states at the Fermi level: 0.24 states/eV/atom

(5)
A plane-wave DFT calculation with GGA-PBE was carried out for a geometry-optimized Na3Tl2RuO6 structure. Values from VASP.

Structure (Quantum ESPRESSO input):
```
&SYSTEM
  ibrav = 0, nat = 12, ntyp = 4
/
ATOMIC_SPECIES
Ru 101.07 Ru.upf
O 16.00 O.upf
Tl 204.38 Tl.upf
Na 22.99 Na.upf
CELL_PARAMETERS angstrom
5.947 0.000 -0.010
-2.973 5.151 -0.010
-1.002 -1.735 5.386
ATOMIC_POSITIONS angstrom
Ru 0.000 0.000 0.000
O -0.846 1.441 1.153
O 2.819 1.975 4.213
Tl -0.010 3.440 -0.010
Na 4.035 -0.053 2.683
O -0.160 -0.277 4.283
O 2.133 3.693 1.083
O 1.671 -0.013 1.153
O 0.302 3.429 4.213
Na -2.063 3.469 2.683
Tl 2.984 1.711 -0.010
Na 0.986 1.708 2.683
```

Values from the calculation:
Calculated density: 6.8 g cm⁻³
Formation energy (no corrections): -1.128 eV/atom
Density of states at the Fermi level: 0.20 states/eV/atom

(6)
A plane-wave DFT calculation with GGA-PBE was carried out for a geometry-optimized NaTlRuO4 structure. Values from VASP.

Structure (Quantum ESPRESSO input):
```
&SYSTEM
  ibrav = 0, nat = 14, ntyp = 4
/
ATOMIC_SPECIES
O 16.00 O.upf
Ru 101.07 Ru.upf
Na 22.99 Na.upf
Tl 204.38 Tl.upf
CELL_PARAMETERS angstrom
-3.428 -2.219 4.735
2.071 -5.691 -1.167
6.389 1.708 3.008
ATOMIC_POSITIONS angstrom
O 2.734 -2.653 0.762
Ru 2.213 -1.902 5.054
O 1.282 -1.929 3.534
O 3.677 -5.244 0.230
Na 3.426 -0.889 2.264
O 3.750 -4.272 3.042
Na 1.606 -5.313 4.312
O 1.179 -4.958 1.822
O 2.298 -3.549 5.814
Tl 0.086 -1.882 1.182
Tl 4.946 -4.319 5.394
O 3.853 -1.244 4.754
Ru 2.819 -4.299 1.522
O 1.356 -0.958 6.346
```

Values from the calculation:
Calculated density: 4.8 g cm⁻³
Formation energy (no corrections): -0.993 eV/atom
Density of states at the Fermi level: 0.01 states/eV/atom

(7)
A plane-wave DFT calculation with GGA-PBE was carried out for a geometry-optimized Na2TlRuO6 structure. Values from VASP.

Structure (Quantum ESPRESSO input):
```
&SYSTEM
  ibrav = 0, nat = 10, ntyp = 4
/
ATOMIC_SPECIES
Tl 204.38 Tl.upf
O 16.00 O.upf
Ru 101.07 Ru.upf
Na 22.99 Na.upf
CELL_PARAMETERS angstrom
4.349 0.000 0.000
0.000 5.811 0.000
0.000 0.000 5.811
ATOMIC_POSITIONS angstrom
Tl 2.730 2.905 2.905
O 3.081 4.536 1.275
O 0.613 2.905 2.905
O 3.081 1.275 4.536
O 3.081 4.536 4.536
Ru 2.609 0.000 0.000
O 3.081 1.275 1.275
Na 0.096 2.905 0.000
O 0.875 0.000 0.000
Na 0.096 0.000 2.905
```

Values from the calculation:
Calculated density: 5.1 g cm⁻³
Formation energy (no corrections): -0.891 eV/atom
Density of states at the Fermi level: 0.32 states/eV/atom

(8)
A plane-wave DFT calculation with GGA-PBE was carried out for a geometry-optimized Na2Tm2RuO6 structure. Values from VASP.

Structure (Quantum ESPRESSO input):
```
&SYSTEM
  ibrav = 0, nat = 11, ntyp = 4
/
ATOMIC_SPECIES
O 16.00 O.upf
Tm 168.93 Tm.upf
Na 22.99 Na.upf
Ru 101.07 Ru.upf
CELL_PARAMETERS angstrom
-1.715 -4.081 3.495
4.185 -1.005 -3.645
3.065 3.151 3.891
ATOMIC_POSITIONS angstrom
O 1.966 -3.560 2.208
Tm 1.805 -1.469 3.036
O 1.697 0.649 3.798
O 3.999 -1.608 2.613
O 3.838 -2.584 -0.057
O 3.569 1.625 1.533
Na -0.823 -3.616 2.415
Ru 1.533 1.576 1.946
Tm 3.731 -0.465 0.705
Na 3.293 -1.470 -2.565
O 1.536 -0.327 1.129
```

Values from the calculation:
Calculated density: 6.2 g cm⁻³
Formation energy (no corrections): -2.281 eV/atom
Density of states at the Fermi level: 0.57 states/eV/atom

Question: Which value of density of states at the Fermi level does entry 8 give?
Answer: 0.57 states/eV/atom

Question: What is the formula in the third record?
Answer: NaTlRu2O8